# SrNiPd2 meta-GGA SCAN single point on PBEsol structure
data_SrNiPd2
_space_group_name_H-M_alt 'P 1'
_space_group_IT_number 1
_cell_length_a 4.607
_cell_length_b 4.607
_cell_length_c 4.607
_cell_angle_alpha 60.00
_cell_angle_beta 60.00
_cell_angle_gamma 60.00
loop_
_space_group_symop_operation_xyz
'x,y,z'
loop_
_atom_site_label
_atom_site_fract_x
_atom_site_fract_y
_atom_site_fract_z
_atom_site_occupancy
Ni1 0.000 0.000 0.000 1
Pd1 0.750 0.750 0.750 1
Pd2 0.250 0.250 0.250 1
Sr1 0.500 0.500 0.500 1
# M_tot = 0.0 μB/f.u.
# space-group type = Fm-3m
# crystal system = cubic
# ΔH_f (0 K) = 49.9 meV per atom

---

# TaNi3Pd meta-GGA SCAN single point on PBEsol structure
data_TaNi3Pd
_space_group_name_H-M_alt 'P 1'
_space_group_IT_number 1
_cell_length_a 4.345
_cell_length_b 4.345
_cell_length_c 4.345
_cell_angle_alpha 90.00
_cell_angle_beta 90.00
_cell_angle_gamma 90.00
loop_
_space_group_symop_operation_xyz
'x,y,z'
loop_
_atom_site_label
_atom_site_fract_x
_atom_site_fract_y
_atom_site_fract_z
_atom_site_occupancy
Ni1 0.000 0.000 0.500 1
Ni2 0.500 0.000 0.000 1
Ni3 0.000 0.500 0.000 1
Ta1 0.500 0.500 0.500 1
Pd1 0.000 0.000 0.000 1
# M_tot = 4.8 μB/f.u.
# space-group type = Pm-3m
# crystal system = cubic
# ΔH_f (0 K) = 1571.7 meV per atom

---

# Ta2Ni2Pd meta-GGA SCAN single point on PBEsol structure
data_Ta2Ni2Pd
_space_group_name_H-M_alt 'P 1'
_space_group_IT_number 1
_cell_length_a 3.190
_cell_length_b 6.651
_cell_length_c 6.651
_cell_angle_alpha 90.00
_cell_angle_beta 90.00
_cell_angle_gamma 90.00
loop_
_space_group_symop_operation_xyz
'x,y,z'
loop_
_atom_site_label
_atom_site_fract_x
_atom_site_fract_y
_atom_site_fract_z
_atom_site_occupancy
Ni1 0.000 0.874 0.626 1
Ni2 0.000 0.626 0.126 1
Ni3 0.000 0.374 0.874 1
Ni4 0.000 0.126 0.374 1
Ta1 0.500 0.327 0.173 1
Ta2 0.500 0.827 0.327 1
Ta3 0.500 0.673 0.827 1
Ta4 0.500 0.173 0.673 1
Pd1 0.000 0.000 0.000 1
Pd2 0.000 0.500 0.500 1
# M_tot = 0.0 μB/f.u.
# space-group type = P4/mbm
# crystal system = tetragonal
# ΔH_f (0 K) = -304.0 meV per atom

---

# TaNi2TePd meta-GGA SCAN single point on PBEsol structure
data_TaNi2TePd
_space_group_name_H-M_alt 'P 1'
_space_group_IT_number 1
_cell_length_a 4.521
_cell_length_b 4.521
_cell_length_c 4.837
_cell_angle_alpha 90.00
_cell_angle_beta 90.00
_cell_angle_gamma 90.00
loop_
_space_group_symop_operation_xyz
'x,y,z'
loop_
_atom_site_label
_atom_site_fract_x
_atom_site_fract_y
_atom_site_fract_z
_atom_site_occupancy
Ta1 0.000 0.000 0.000 1
Te1 0.500 0.500 0.500 1
Ni1 0.500 0.000 0.000 1
Ni2 0.000 0.500 0.000 1
Pd1 0.000 0.000 0.500 1
# M_tot = 0.0 μB/f.u.
# space-group type = P4/mmm
# E_form (uncorrected) = 1118.5 meV/atom
# crystal system = tetragonal

---

# NiTe3Pd meta-GGA SCAN single point on PBEsol structure
data_NiTe3Pd
_space_group_name_H-M_alt 'P 1'
_space_group_IT_number 1
_cell_length_a 4.919
_cell_length_b 4.919
_cell_length_c 4.919
_cell_angle_alpha 90.00
_cell_angle_beta 90.00
_cell_angle_gamma 90.00
loop_
_space_group_symop_operation_xyz
'x,y,z'
loop_
_atom_site_label
_atom_site_fract_x
_atom_site_fract_y
_atom_site_fract_z
_atom_site_occupancy
Te1 0.500 0.000 0.000 1
Te2 0.000 0.000 0.500 1
Te3 0.000 0.500 0.000 1
Pd1 0.500 0.500 0.500 1
Ni1 0.000 0.000 0.000 1
# M_tot = 0.0 μB/f.u.
# space-group type = Pm-3m
# E_form (uncorrected) = 530.0 meV/atom
# crystal system = cubic

---

# Y2Ni2Pd meta-GGA SCAN single point on PBEsol structure
data_Y2Ni2Pd
_space_group_name_H-M_alt 'P 1'
_space_group_IT_number 1
_cell_length_a 3.647
_cell_length_b 6.980
_cell_length_c 6.980
_cell_angle_alpha 90.00
_cell_angle_beta 90.00
_cell_angle_gamma 90.00
loop_
_space_group_symop_operation_xyz
'x,y,z'
loop_
_atom_site_label
_atom_site_fract_x
_atom_site_fract_y
_atom_site_fract_z
_atom_site_occupancy
Ni1 0.000 0.119 0.381 1
Ni2 0.000 0.381 0.881 1
Ni3 0.000 0.881 0.619 1
Ni4 0.000 0.619 0.119 1
Y1 0.500 0.681 0.819 1
Y2 0.500 0.319 0.181 1
Y3 0.500 0.819 0.319 1
Y4 0.500 0.181 0.681 1
Pd1 0.000 0.000 0.000 1
Pd2 0.000 0.500 0.500 1
# M_tot = 0.0 μB/f.u.
# space-group type = P4/mbm
# crystal system = tetragonal
# ΔH_f (0 K) = -559.3 meV per atom

---

# Pm2NiPt meta-GGA SCAN single point on PBEsol structure
data_Pm2NiPt
_space_group_name_H-M_alt 'P 1'
_space_group_IT_number 1
_cell_length_a 4.915
_cell_length_b 4.915
_cell_length_c 4.915
_cell_angle_alpha 60.00
_cell_angle_beta 60.00
_cell_angle_gamma 60.00
loop_
_space_group_symop_operation_xyz
'x,y,z'
loop_
_atom_site_label
_atom_site_fract_x
_atom_site_fract_y
_atom_site_fract_z
_atom_site_occupancy
Pm1 0.750 0.750 0.750 1
Pm2 0.250 0.250 0.250 1
Pt1 0.500 0.500 0.500 1
Ni1 0.000 0.000 0.000 1
# M_tot = 0.0 μB/f.u.
# space-group type = Fm-3m
# crystal system = cubic
# ΔH_f (0 K) = -770.1 meV per atom

---

# Pm2NiRu meta-GGA SCAN single point on PBEsol structure
data_Pm2NiRu
_space_group_name_H-M_alt 'P 1'
_space_group_IT_number 1
_cell_length_a 4.840
_cell_length_b 4.840
_cell_length_c 4.840
_cell_angle_alpha 60.00
_cell_angle_beta 60.00
_cell_angle_gamma 60.00
loop_
_space_group_symop_operation_xyz
'x,y,z'
loop_
_atom_site_label
_atom_site_fract_x
_atom_site_fract_y
_atom_site_fract_z
_atom_site_occupancy
Pm1 0.250 0.250 0.250 1
Pm2 0.750 0.750 0.750 1
Ru1 0.000 0.000 0.000 1
Ni1 0.500 0.500 0.500 1
# M_tot = 0.4 μB/f.u.
# space-group type = Fm-3m
# crystal system = cubic
# ΔH_f (0 K) = -248.5 meV per atom

---

# Pm2SiNi meta-GGA SCAN single point on PBEsol structure
data_Pm2SiNi
_space_group_name_H-M_alt 'P 1'
_space_group_IT_number 1
_cell_length_a 4.951
_cell_length_b 4.951
_cell_length_c 4.951
_cell_angle_alpha 60.00
_cell_angle_beta 60.00
_cell_angle_gamma 60.00
loop_
_space_group_symop_operation_xyz
'x,y,z'
loop_
_atom_site_label
_atom_site_fract_x
_atom_site_fract_y
_atom_site_fract_z
_atom_site_occupancy
Pm1 0.750 0.750 0.750 1
Pm2 0.250 0.250 0.250 1
Ni1 0.000 0.000 0.000 1
Si1 0.500 0.500 0.500 1
# M_tot = 0.0 μB/f.u.
# space-group type = Fm-3m
# E_form (uncorrected) = -361.8 meV/atom
# crystal system = cubic

---

# PrNi2 meta-GGA SCAN single point on PBEsol structure
data_PrNi2
_space_group_name_H-M_alt 'P 1'
_space_group_IT_number 1
_cell_length_a 5.105
_cell_length_b 5.105
_cell_length_c 5.105
_cell_angle_alpha 60.00
_cell_angle_beta 60.00
_cell_angle_gamma 60.00
loop_
_space_group_symop_operation_xyz
'x,y,z'
loop_
_atom_site_label
_atom_site_fract_x
_atom_site_fract_y
_atom_site_fract_z
_atom_site_occupancy
Pr1 0.000 0.000 0.000 1
Pr2 0.250 0.250 0.250 1
Ni1 0.125 0.625 0.625 1
Ni2 0.625 0.625 0.125 1
Ni3 0.625 0.125 0.625 1
Ni4 0.625 0.625 0.625 1
# M_tot = 0.0 μB/f.u.
# space-group type = Fd-3m
# crystal system = cubic
# ΔH_f (0 K) = -248.2 meV per atom

---

# PrNi2Sb2 meta-GGA SCAN single point on PBEsol structure
data_PrNi2Sb2
_space_group_name_H-M_alt 'P 1'
_space_group_IT_number 1
_cell_length_a 4.441
_cell_length_b 4.441
_cell_length_c 9.834
_cell_angle_alpha 90.00
_cell_angle_beta 90.00
_cell_angle_gamma 90.00
loop_
_space_group_symop_operation_xyz
'x,y,z'
loop_
_atom_site_label
_atom_site_fract_x
_atom_site_fract_y
_atom_site_fract_z
_atom_site_occupancy
Sb1 0.000 0.000 0.500 1
Sb2 0.000 0.500 0.875 1
Sb3 0.500 0.500 0.500 1
Sb4 0.500 0.000 0.125 1
Pr1 0.500 0.000 0.760 1
Pr2 0.000 0.500 0.240 1
Ni1 0.000 0.000 0.000 1
Ni2 0.500 0.000 0.377 1
Ni3 0.000 0.500 0.623 1
Ni4 0.500 0.500 0.000 1
# M_tot = 0.0 μB/f.u.
# space-group type = P4/nmm
# E_form (uncorrected) = -717.8 meV/atom
# crystal system = tetragonal

---

# PrNiSb meta-GGA SCAN single point on PBEsol structure
data_PrNiSb
_space_group_name_H-M_alt 'P 1'
_space_group_IT_number 1
_cell_length_a 4.163
_cell_length_b 4.316
_cell_length_c 4.316
_cell_angle_alpha 120.00
_cell_angle_beta 90.00
_cell_angle_gamma 90.00
loop_
_space_group_symop_operation_xyz
'x,y,z'
loop_
_atom_site_label
_atom_site_fract_x
_atom_site_fract_y
_atom_site_fract_z
_atom_site_occupancy
Pr1 0.000 0.333 0.667 1
Sb1 0.500 0.667 0.333 1
Ni1 0.500 0.000 0.000 1
# M_tot = 0.2 μB/f.u.
# space-group type = P-6m2
# E_form (uncorrected) = -896.8 meV/atom
# crystal system = hexagonal

---

# PrNiSb meta-GGA SCAN single point on PBEsol structure
data_PrNiSb
_space_group_name_H-M_alt 'P 1'
_space_group_IT_number 1
_cell_length_a 4.325
_cell_length_b 4.325
_cell_length_c 8.257
_cell_angle_alpha 90.00
_cell_angle_beta 90.00
_cell_angle_gamma 120.00
loop_
_space_group_symop_operation_xyz
'x,y,z'
loop_
_atom_site_label
_atom_site_fract_x
_atom_site_fract_y
_atom_site_fract_z
_atom_site_occupancy
Sb1 0.333 0.667 0.750 1
Sb2 0.667 0.333 0.250 1
Pr1 0.000 0.000 0.000 1
Pr2 0.000 0.000 0.500 1
Ni1 0.333 0.667 0.250 1
Ni2 0.667 0.333 0.750 1
# M_tot = 0.0 μB/f.u.
# space-group type = P6_3/mmc
# E_form (uncorrected) = -905.7 meV/atom
# crystal system = hexagonal

---

# PrSi2Ni9 meta-GGA SCAN single point on PBEsol structure
data_PrSi2Ni9
_space_group_name_H-M_alt 'P 1'
_space_group_IT_number 1
_cell_length_a 6.137
_cell_length_b 7.517
_cell_length_c 7.517
_cell_angle_alpha 80.41
_cell_angle_beta 65.91
_cell_angle_gamma 65.91
loop_
_space_group_symop_operation_xyz
'x,y,z'
loop_
_atom_site_label
_atom_site_fract_x
_atom_site_fract_y
_atom_site_fract_z
_atom_site_occupancy
Ni1 0.438 0.421 0.829 1
Ni2 0.688 0.579 0.171 1
Ni3 0.141 0.421 0.171 1
Ni4 0.141 0.171 0.421 1
Ni5 0.312 0.671 0.079 1
Ni6 0.750 0.500 0.500 1
Ni7 0.688 0.171 0.579 1
Ni8 0.733 0.579 0.829 1
Ni9 0.062 0.921 0.329 1
Ni10 0.017 0.921 0.671 1
Ni11 0.312 0.079 0.671 1
Ni12 0.438 0.829 0.421 1
Ni13 0.017 0.671 0.921 1
Ni14 0.062 0.329 0.921 1
Ni15 0.609 0.329 0.079 1
Ni16 0.609 0.079 0.329 1
Ni17 0.000 0.000 0.000 1
Ni18 0.733 0.829 0.579 1
Si1 0.875 0.250 0.750 1
Si2 0.375 0.750 0.750 1
Si3 0.875 0.750 0.250 1
Si4 0.875 0.250 0.250 1
Pr1 0.250 0.500 0.500 1
Pr2 0.500 0.000 0.000 1
# M_tot = 0.0 μB/f.u.
# space-group type = I4_1/amd
# E_form (uncorrected) = -449.8 meV/atom
# crystal system = tetragonal

---

# Pr2Si3Ni meta-GGA SCAN single point on PBEsol structure
data_Pr2Si3Ni
_space_group_name_H-M_alt 'P 1'
_space_group_IT_number 1
_cell_length_a 4.029
_cell_length_b 4.029
_cell_length_c 8.401
_cell_angle_alpha 90.00
_cell_angle_beta 90.00
_cell_angle_gamma 120.00
loop_
_space_group_symop_operation_xyz
'x,y,z'
loop_
_atom_site_label
_atom_site_fract_x
_atom_site_fract_y
_atom_site_fract_z
_atom_site_occupancy
Pr1 0.667 0.333 0.244 1
Pr2 0.667 0.333 0.756 1
Si1 0.000 0.000 0.000 1
Si2 0.000 0.000 0.500 1
Si3 0.333 0.667 0.500 1
Ni1 0.333 0.667 0.000 1
# M_tot = 0.0 μB/f.u.
# space-group type = P-6m2
# E_form (uncorrected) = -680.6 meV/atom
# crystal system = hexagonal

---

# Pr6Si3Ni2 meta-GGA SCAN single point on PBEsol structure
data_Pr6Si3Ni2
_space_group_name_H-M_alt 'P 1'
_space_group_IT_number 1
_cell_length_a 4.464
_cell_length_b 11.564
_cell_length_c 11.658
_cell_angle_alpha 118.94
_cell_angle_beta 90.00
_cell_angle_gamma 90.00
loop_
_space_group_symop_operation_xyz
'x,y,z'
loop_
_atom_site_label
_atom_site_fract_x
_atom_site_fract_y
_atom_site_fract_z
_atom_site_occupancy
Si1 0.500 0.439 0.286 1
Si2 0.000 0.162 0.439 1
Si3 0.000 0.334 0.674 1
Si4 0.500 0.720 0.159 1
Si5 0.500 0.841 0.558 1
Si6 0.500 0.666 0.334 1
Pr1 0.000 0.863 0.375 1
Pr2 0.000 0.619 0.488 1
Pr3 0.500 0.130 0.612 1
Pr4 0.500 0.388 0.525 1
Pr5 0.000 0.516 0.138 1
Pr6 0.500 0.018 0.234 1
Pr7 0.000 0.990 0.762 1
Pr8 0.500 0.476 0.868 1
Pr9 0.500 0.232 0.981 1
Pr10 0.000 0.775 0.011 1
Pr11 0.000 0.238 0.217 1
Pr12 0.500 0.754 0.773 1
Ni1 0.000 0.560 0.734 1
Ni2 0.253 0.998 0.992 1
Ni3 0.000 0.284 0.848 1
Ni4 0.747 0.998 0.992 1
# M_tot = 0.0 μB/f.u.
# space-group type = Pm
# E_form (uncorrected) = -488.2 meV/atom
# crystal system = monoclinic

---

# Pr3Si2Ni6 meta-GGA SCAN single point on PBEsol structure
data_Pr3Si2Ni6
_space_group_name_H-M_alt 'P 1'
_space_group_IT_number 1
_cell_length_a 7.659
_cell_length_b 7.659
_cell_length_c 7.659
_cell_angle_alpha 109.47
_cell_angle_beta 109.47
_cell_angle_gamma 109.47
loop_
_space_group_symop_operation_xyz
'x,y,z'
loop_
_atom_site_label
_atom_site_fract_x
_atom_site_fract_y
_atom_site_fract_z
_atom_site_occupancy
Si1 0.500 0.500 0.500 1
Si2 0.500 0.000 0.000 1
Si3 0.000 0.500 0.000 1
Si4 0.000 0.000 0.500 1
Ni1 0.331 0.669 0.000 1
Ni2 0.000 0.331 0.669 1
Ni3 0.669 0.338 0.669 1
Ni4 0.331 0.662 0.331 1
Ni5 0.331 0.331 0.662 1
Ni6 0.669 0.331 0.000 1
Ni7 0.000 0.669 0.331 1
Ni8 0.338 0.669 0.669 1
Ni9 0.669 0.669 0.338 1
Ni10 0.662 0.331 0.331 1
Ni11 0.669 0.000 0.331 1
Ni12 0.331 0.000 0.669 1
Pr1 0.715 0.715 0.000 1
Pr2 0.000 0.715 0.715 1
Pr3 0.000 0.285 0.285 1
Pr4 0.715 0.000 0.715 1
Pr5 0.285 0.000 0.285 1
Pr6 0.285 0.285 0.000 1
# M_tot = 0.0 μB/f.u.
# space-group type = Im-3m
# E_form (uncorrected) = -488.6 meV/atom
# crystal system = cubic

---

# PrSi2Ni meta-GGA SCAN single point on PBEsol structure
data_PrSi2Ni
_space_group_name_H-M_alt 'P 1'
_space_group_IT_number 1
_cell_length_a 4.050
_cell_length_b 4.127
_cell_length_c 8.398
_cell_angle_alpha 75.78
_cell_angle_beta 90.00
_cell_angle_gamma 90.00
loop_
_space_group_symop_operation_xyz
'x,y,z'
loop_
_atom_site_label
_atom_site_fract_x
_atom_site_fract_y
_atom_site_fract_z
_atom_site_occupancy
Pr1 0.250 0.894 0.213 1
Pr2 0.750 0.106 0.787 1
Ni1 0.250 0.682 0.636 1
Ni2 0.750 0.318 0.364 1
Si1 0.250 0.541 0.918 1
Si2 0.250 0.250 0.501 1
Si3 0.750 0.750 0.499 1
Si4 0.750 0.459 0.082 1
# M_tot = 0.0 μB/f.u.
# space-group type = Cmcm
# E_form (uncorrected) = -841.4 meV/atom
# crystal system = orthorhombic

---

# Pr6Ni3Sn14 meta-GGA SCAN single point on PBEsol structure
data_Pr6Ni3Sn14
_space_group_name_H-M_alt 'P 1'
_space_group_IT_number 1
_cell_length_a 4.528
_cell_length_b 4.539
_cell_length_c 27.146
_cell_angle_alpha 90.00
_cell_angle_beta 90.00
_cell_angle_gamma 90.00
loop_
_space_group_symop_operation_xyz
'x,y,z'
loop_
_atom_site_label
_atom_site_fract_x
_atom_site_fract_y
_atom_site_fract_z
_atom_site_occupancy
Sn1 0.500 0.000 0.710 1
Sn2 0.000 0.000 0.595 1
Sn3 0.500 0.000 0.908 1
Sn4 0.500 0.000 0.090 1
Sn5 0.000 0.000 0.999 1
Sn6 0.500 0.500 0.219 1
Sn7 0.000 0.500 0.089 1
Sn8 0.000 0.000 0.411 1
Sn9 0.500 0.500 0.595 1
Sn10 0.500 0.500 0.779 1
Sn11 0.500 0.500 0.411 1
Sn12 0.000 0.500 0.504 1
Sn13 0.000 0.500 0.909 1
Sn14 0.500 0.000 0.282 1
Ni1 0.500 0.500 0.128 1
Ni2 0.500 0.500 0.870 1
Ni3 0.500 0.000 0.373 1
Pr1 0.500 0.500 0.999 1
Pr2 0.000 0.500 0.686 1
Pr3 0.000 0.500 0.316 1
Pr4 0.500 0.000 0.500 1
Pr5 0.000 0.000 0.813 1
Pr6 0.000 0.000 0.185 1
# M_tot = 0.0 μB/f.u.
# space-group type = Pmm2
# crystal system = orthorhombic
# ΔH_f (0 K) = -665.7 meV per atom

---

# PrNiSn meta-GGA SCAN single point on PBEsol structure
data_PrNiSn
_space_group_name_H-M_alt 'P 1'
_space_group_IT_number 1
_cell_length_a 4.590
_cell_length_b 7.321
_cell_length_c 7.562
_cell_angle_alpha 90.00
_cell_angle_beta 90.00
_cell_angle_gamma 90.00
loop_
_space_group_symop_operation_xyz
'x,y,z'
loop_
_atom_site_label
_atom_site_fract_x
_atom_site_fract_y
_atom_site_fract_z
_atom_site_occupancy
Sn1 0.250 0.097 0.820 1
Sn2 0.750 0.903 0.180 1
Sn3 0.250 0.403 0.320 1
Sn4 0.750 0.597 0.680 1
Ni1 0.750 0.579 0.324 1
Ni2 0.750 0.921 0.824 1
Ni3 0.250 0.079 0.176 1
Ni4 0.250 0.421 0.676 1
Pr1 0.250 0.688 0.972 1
Pr2 0.250 0.812 0.472 1
Pr3 0.750 0.312 0.028 1
Pr4 0.750 0.188 0.528 1
# M_tot = 0.0 μB/f.u.
# space-group type = Pnma
# crystal system = orthorhombic
# ΔH_f (0 K) = -677.3 meV per atom